[1]
An optimized crystal structure of PmDy4Er3Se8, computed with PBE.

Computed properties:
crystal system	trigonal
spin magnetization	0.00	μB/f.u.
symmetry	R-3m (166)
theoretical density	8.3	Mg/m³
raw formation energy	-39.918	kcal/mol of atoms

Lattice parameters (Å, degrees): 8.155 8.155 8.160 120.06 119.98 90.00
Positions (direct):
Pm1 0.000 0.500 0.000
Dy1 0.500 0.000 0.000
Dy2 0.500 0.000 0.500
Dy3 0.000 0.000 0.000
Dy4 0.000 0.000 0.500
Er1 0.500 0.500 0.000
Er2 0.500 0.500 0.500
Er3 0.000 0.500 0.500
Se1 0.254 0.751 0.997
Se2 0.254 0.751 0.508
Se3 0.251 0.254 0.503
Se4 0.743 0.751 0.997
Se5 0.257 0.249 0.003
Se6 0.749 0.746 0.497
Se7 0.746 0.249 0.492
Se8 0.746 0.249 0.003

[2]
An optimized crystal structure of Pm3DyEr2Se6, computed with PBE.

Computed properties:
crystal system	monoclinic
spin magnetization	0.00	μB/f.u.
symmetry	C2/m (12)
theoretical density	7.8	Mg/m³
raw formation energy	-41.029	kcal/mol of atoms

Lattice parameters (Å, degrees): 4.084 8.339 9.262 104.39 102.74 90.00
Positions (direct):
Pm1 0.500 0.500 0.000
Pm2 0.834 0.167 0.669
Pm3 0.166 0.833 0.331
Dy1 0.500 0.000 0.000
Er1 0.834 0.668 0.668
Er2 0.166 0.332 0.332
Se1 0.335 0.907 0.671
Se2 0.670 0.575 0.340
Se3 0.665 0.093 0.329
Se4 0.004 0.244 0.007
Se5 0.996 0.756 0.993
Se6 0.330 0.425 0.660

[3]
An optimized crystal structure of Pm2DyErSe6, computed with PBE.

Computed properties:
crystal system	trigonal
spin magnetization	0.00	μB/f.u.
symmetry	R3 (146)
theoretical density	6.0	Mg/m³
raw formation energy	-42.588	kcal/mol of atoms

Lattice parameters (Å, degrees): 7.305 7.305 7.754 61.89 61.89 60.00
Positions (direct):
Pm1 0.518 0.518 0.445
Pm2 0.018 0.019 0.945
Dy1 0.319 0.319 0.044
Er1 0.819 0.819 0.542
Se1 0.605 0.207 0.257
Se2 0.207 0.930 0.257
Se3 0.930 0.605 0.257
Se4 0.433 0.709 0.756
Se5 0.709 0.103 0.756
Se6 0.103 0.433 0.756

[4]
An optimized crystal structure of Pm4DyEr3Se8, computed with PBE.

Computed properties:
crystal system	trigonal
spin magnetization	0.00	μB/f.u.
symmetry	R-3m (166)
theoretical density	7.9	Mg/m³
raw formation energy	-40.898	kcal/mol of atoms

Lattice parameters (Å, degrees): 8.155 8.340 8.157 119.28 119.99 90.00
Positions (direct):
Pm1 0.500 0.000 0.000
Pm2 0.500 0.000 0.500
Pm3 0.000 0.000 0.000
Pm4 0.000 0.000 0.500
Dy1 0.000 0.500 0.000
Er1 0.500 0.500 0.000
Er2 0.500 0.500 0.500
Er3 0.000 0.500 0.500
Se1 0.246 0.735 0.989
Se2 0.246 0.735 0.492
Se3 0.255 0.266 0.511
Se4 0.743 0.735 0.989
Se5 0.257 0.265 0.011
Se6 0.745 0.734 0.489
Se7 0.754 0.265 0.508
Se8 0.754 0.265 0.011

[5]
An optimized crystal structure of Pm2DyErSe5, computed with PBE.

Computed properties:
crystal system	tetragonal
spin magnetization	0.00	μB/f.u.
symmetry	P4/mmm (123)
theoretical density	6.0	Mg/m³
raw formation energy	-28.847	kcal/mol of atoms

Lattice parameters (Å, degrees): 5.106 5.106 10.712 90.00 90.00 90.00
Positions (direct):
Pm1 0.500 0.500 0.325
Pm2 0.500 0.500 0.675
Dy1 0.000 0.000 0.000
Er1 0.000 0.000 0.500
Se1 0.000 0.500 0.500
Se2 0.500 0.000 0.500
Se3 0.000 0.000 0.753
Se4 0.000 0.000 0.247
Se5 0.500 0.500 0.000

[6]
An optimized crystal structure of PmDy3Er2Se6, computed with PBE.

Computed properties:
crystal system	monoclinic
spin magnetization	0.00	μB/f.u.
symmetry	C2/m (12)
theoretical density	8.3	Mg/m³
raw formation energy	-40.268	kcal/mol of atoms

Lattice parameters (Å, degrees): 7.077 7.077 7.074 99.54 99.54 120.26
Positions (direct):
Pm1 0.000 0.000 0.000
Dy1 0.159 0.841 0.500
Dy2 0.841 0.159 0.500
Dy3 0.500 0.500 0.500
Er1 0.335 0.665 0.000
Er2 0.665 0.335 0.000
Se1 0.916 0.572 0.747
Se2 0.739 0.739 0.247
Se3 0.084 0.428 0.253
Se4 0.572 0.916 0.747
Se5 0.261 0.261 0.753
Se6 0.428 0.084 0.253